(1)
# Tb3Pr2Se4 (PBE-GGA, optimized geometry)
# Uncorrected formation energy (eV per atom): -1.574
# D(E_F) (states/eV/cell): 12.08
# Total magnetic moment (μB/f.u.): 0.00
data_Tb3Pr2Se4
_cell_length_a 13.5936
_cell_length_b 4.0776
_cell_length_c 10.0858
_cell_angle_alpha 90.00
_cell_angle_beta 118.63
_cell_angle_gamma 90.00
_symmetry_space_group_name_H-M 'C 1 2/m 1'
_symmetry_Int_Tables_number 12
_symmetry_space_group_name_Hall '-C 2y'
loop_
_atom_site_label
_atom_site_fract_x
_atom_site_fract_y
_atom_site_fract_z
Tb1 0.0000 0.0000 0.0000
Tb2 0.2033 0.0000 0.7998
Pr1 0.0950 0.5000 0.4061
Se1 0.1052 0.5000 0.9066
Se2 0.1960 0.0000 0.2940

---

(2)
# PmZnFe (PBE-GGA, optimized geometry)
# DFT total energy (eV/atom): -4.93
# D(E_F) (states/eV/cell): 10.00
# Total magnetic moment (μB/f.u.): 1.10
data_PmZnFe
_cell_length_a 12.1934
_cell_length_b 3.9540
_cell_length_c 5.1341
_cell_angle_alpha 90.00
_cell_angle_beta 105.45
_cell_angle_gamma 90.00
_symmetry_space_group_name_H-M 'C 1 2/m 1'
_symmetry_Int_Tables_number 12
_symmetry_space_group_name_Hall '-C 2y'
loop_
_atom_site_label
_atom_site_fract_x
_atom_site_fract_y
_atom_site_fract_z
Pm1 0.1207 0.0000 0.3111
Zn1 0.0855 0.5000 0.7712
Fe1 0.2219 0.0000 0.8944

---

(3)
# KCa2Tc2N4 (PBE-GGA, optimized geometry)
# Uncorrected formation energy (eV per atom): -0.416
# D(E_F) (states/eV/cell): 3.64
# Total magnetic moment (μB/f.u.): 0.00
data_KCa2Tc2N4
_cell_length_a 12.1950
_cell_length_b 3.2951
_cell_length_c 9.1950
_cell_angle_alpha 90.00
_cell_angle_beta 118.28
_cell_angle_gamma 90.00
_symmetry_space_group_name_H-M 'C 1 2/m 1'
_symmetry_Int_Tables_number 12
_symmetry_space_group_name_Hall '-C 2y'
loop_
_atom_site_label
_atom_site_fract_x
_atom_site_fract_y
_atom_site_fract_z
K1 0.0000 0.0000 0.0000
Ca1 0.1411 0.0000 0.7283
Tc1 0.1643 0.5000 0.3976
N1 0.0011 0.5000 0.7286
N2 0.2490 0.0000 0.3471

---

(4)
# SrGa2Cu9 (PBE-GGA, optimized geometry)
# DFT total energy (eV/atom): -3.82
# D(E_F) (states/eV/cell): 20.42
# Total magnetic moment (μB/f.u.): 0.00
data_SrGa2Cu9
_cell_length_a 10.2941
_cell_length_b 10.2941
_cell_length_c 6.6719
_cell_angle_alpha 90.00
_cell_angle_beta 90.00
_cell_angle_gamma 90.00
_symmetry_space_group_name_H-M 'I 41/a m d'
_symmetry_Int_Tables_number 141
loop_
_symmetry_equiv_pos_as_xyz
'x,y,z'
'-x,-y,-z'
'-y+1/4,x+3/4,z+1/4'
'y+1/4,-x+3/4,-z+1/4'
'-x+1/2,-y,z+1/2'
'x+1/2,y,-z+1/2'
'y+1/4,-x+1/4,z+3/4'
'-y+1/4,x+1/4,-z+3/4'
'x,-y,-z'
'-x,y,z'
'-y+1/4,-x+1/4,-z+3/4'
'y+1/4,x+1/4,z+3/4'
'-x+1/2,y,-z+1/2'
'x+1/2,-y,z+1/2'
'y+1/4,x+3/4,-z+1/4'
'-y+1/4,-x+3/4,z+1/4'
'x+1/2,y+1/2,z+1/2'
'-x+1/2,-y+1/2,-z+1/2'
'-y+3/4,x+1/4,z+3/4'
'y+3/4,-x+1/4,-z+3/4'
'-x,-y+1/2,z'
'x,y+1/2,-z'
'y+3/4,-x+3/4,z+1/4'
'-y+3/4,x+3/4,-z+1/4'
'x+1/2,-y+1/2,-z+1/2'
'-x+1/2,y+1/2,z+1/2'
'-y+3/4,-x+3/4,-z+1/4'
'y+3/4,x+3/4,z+1/4'
'-x,y+1/2,-z'
'x,-y+1/2,z'
'y+3/4,x+1/4,-z+3/4'
'-y+3/4,-x+1/4,z+3/4'
loop_
_atom_site_label
_atom_site_fract_x
_atom_site_fract_y
_atom_site_fract_z
Sr1 0.0000 0.2500 0.3750
Ga1 0.0000 0.0000 0.0000
Cu1 0.0000 0.2500 0.8750
Cu2 0.1237 0.0406 0.6855